## Pa2Ga2FeSi4 (PBE)

Data for a geometry-optimized Pa2Ga2FeSi4 structure.

a = 6.003 Å, b = 6.003 Å, c = 8.362 Å
α = 90.00°, β = 90.00°, γ = 90.00°
Space group I4/mmm (No. 139)
One atom of each set of equivalent atoms:
Pa1 0.000 0.500 0.250 x4
Ga1 0.000 0.000 0.215 x4
Fe1 0.000 0.000 0.500 x2
Si1 0.228 0.228 0.000 x8

## SnSbP (PBE)

Data for a geometry-optimized SnSbP structure.

a = 4.368 Å, b = 6.048 Å, c = 6.965 Å
α = 114.34°, β = 101.30°, γ = 96.51°
Space group P1 (No. 1)
One atom of each set of equivalent atoms:
Sn1 0.000 0.000 0.000 x1
Sn2 0.334 0.394 0.720 x1
Sb1 0.283 0.856 0.617 x1
Sb2 0.627 0.238 0.323 x1
P1 0.747 0.661 0.310 x1
P2 0.909 0.562 0.005 x1

Relative energy among the computed polymorphs, eV per atom: 0.017

no.,energy (eV per atom),formation energy from raw total energies (meV per atom)
1,-6.56,-428.6
2,-4.44,73.9